Record 1
DFT (PBE) results for a geometry-optimized MnCu structure.

Calculated values
space group	No. 216
DFT formation energy	1.2549	eV/atom

Lattice parameters (Å, degrees): 3.9001 3.9001 3.9001 60.00 60.00 60.00
Last column: nearest neighbours and their distance in Å.
Fractional coordinates of all 2 atoms:
Mn  0.0000  0.0000  0.0000  4 Cu 2.39
Cu  0.7500  0.7500  0.7500  4 Mn 2.39

Record 2
DFT (PBE) results for a geometry-optimized LaDy2Ir structure.

Calculated values
energy above the lowest structure with this stoichiometry	162	meV/atom
space group	No. 160
DFT formation energy	-0.3863	eV/atom

Lattice parameters (Å, degrees): 9.1318 9.1318 9.1318 25.71 25.71 25.71
Last column: nearest neighbours and their distance in Å.
Fractional coordinates of all 4 atoms:
La  0.0000  0.0000  0.0000  6 Dy 3.73-3.85, 6 La 4.06
Dy  0.5516  0.5516  0.5516  3 Ir 2.75
Dy  0.7763  0.7763  0.7763  3 Ir 2.75
Ir  0.1640  0.1640  0.1640  6 Dy 2.75

Record 3
DFT (PBE) results for a geometry-optimized Rb2NaPd structure.

Calculated values
space group	No. 166
DFT formation energy	0.2645	eV/atom

Lattice parameters (Å, degrees): 12.4981 12.4981 12.4981 20.49 20.49 20.49
Last column: nearest neighbours and their distance in Å.
Fractional coordinates of all 4 atoms:
Rb  0.1115  0.1115  0.1115  3 Pd 3.27
Rb  0.8885  0.8885  0.8885  3 Pd 3.27
Na  0.0000  0.0000  0.0000  2 Rb 4.09, 6 Na 4.45
Pd  0.5000  0.5000  0.5000  6 Rb 3.27